The following is a GGA+U calculation of a relaxed ZrMnI2O crystal, from Alexandria.

Output
The value obtained for the uncorrected energy is -28.26 eV/cell. The space-group type is P4/mmm (123).

a = 5.991 Å, b = 5.991 Å, c = 4.037 Å
α = 90.00°, β = 90.00°, γ = 90.00°
Sites, in units of the cell vectors:
1 Zr 0.000 0.000 0.000
2 Mn 0.500 0.500 0.500
3 I 0.000 0.500 0.000
4 I 0.500 0.000 0.000
5 O 0.000 0.000 0.500